# Nd2Dy6Ho3Tm PBE relaxed
data_Nd2Dy6Ho3Tm
_cell_length_a 6.1579
_cell_length_b 10.6574
_cell_length_c 11.7857
_cell_angle_alpha 90.00
_cell_angle_beta 99.97
_cell_angle_gamma 90.00
_space_group_name_H-M_alt 'C 1 2/m 1'
_space_group_IT_number 12
loop_
_space_group_symop_operation_xyz
'x,y,z'
'-x,-y,-z'
'-x,y,-z'
'x,-y,z'
'x+1/2,y+1/2,z'
'-x+1/2,-y+1/2,-z'
'-x+1/2,y+1/2,-z'
'x+1/2,-y+1/2,z'
loop_
_atom_site_label
_atom_site_type_symbol
_atom_site_fract_x
_atom_site_fract_y
_atom_site_fract_z
_atom_site_occupancy
Nd1 Nd 0.0000 0.1665 0.0000 1
Dy1 Dy 0.2475 0.5000 0.7471 1
Dy2 Dy 0.2493 0.1661 0.7474 1
Ho1 Ho 0.0000 0.0000 0.5000 1
Ho2 Ho 0.0000 0.3337 0.5000 1
Tm1 Tm 0.0000 0.5000 0.0000 1
# E	-4.60	eV per atom
# N(E_F)	30.36	states/eV per cell

***

# NdDy2Ho2Tm PBE relaxed
data_NdDy2Ho2Tm
_cell_length_a 6.9250
_cell_length_b 9.7510
_cell_length_c 5.5898
_cell_angle_alpha 90.00
_cell_angle_beta 90.00
_cell_angle_gamma 90.00
_space_group_name_H-M_alt 'P n n m'
_space_group_IT_number 58
loop_
_space_group_symop_operation_xyz
'x,y,z'
'-x,-y,-z'
'-x,-y,z'
'x,y,-z'
'x+1/2,-y+1/2,-z+1/2'
'-x+1/2,y+1/2,z+1/2'
'-x+1/2,y+1/2,-z+1/2'
'x+1/2,-y+1/2,z+1/2'
loop_
_atom_site_label
_atom_site_type_symbol
_atom_site_fract_x
_atom_site_fract_y
_atom_site_fract_z
_atom_site_occupancy
Nd1 Nd 0.0000 0.0000 0.0000 1
Dy1 Dy 0.2483 0.3333 0.0000 1
Ho1 Ho 0.2487 0.6665 0.0000 1
Tm1 Tm 0.0000 0.5000 0.5000 1
# E	-4.53	eV per atom
# N(E_F)	18.68	states/eV per cell

***

# Nd4Dy2HoTm2 PBE relaxed
data_Nd4Dy2HoTm2
_cell_length_a 15.2566
_cell_length_b 5.0742
_cell_length_c 8.0173
_cell_angle_alpha 90.00
_cell_angle_beta 108.44
_cell_angle_gamma 90.00
_space_group_name_H-M_alt 'C 1 2/m 1'
_space_group_IT_number 12
loop_
_space_group_symop_operation_xyz
'x,y,z'
'-x,-y,-z'
'-x,y,-z'
'x,-y,z'
'x+1/2,y+1/2,z'
'-x+1/2,-y+1/2,-z'
'-x+1/2,y+1/2,-z'
'x+1/2,-y+1/2,z'
loop_
_atom_site_label
_atom_site_type_symbol
_atom_site_fract_x
_atom_site_fract_y
_atom_site_fract_z
_atom_site_occupancy
Nd1 Nd 0.0539 0.0000 0.3301 1
Nd2 Nd 0.2227 0.5000 0.3311 1
Dy1 Dy 0.1115 0.5000 0.6701 1
Ho1 Ho 0.0000 0.5000 0.0000 1
Tm1 Tm 0.1674 0.0000 0.9997 1
# E	-4.62	eV per atom
# N(E_F)	27.06	states/eV per cell